[1]
Material: GaOsPtRh2
Method: DFT, SCAN
State: single point on PBEsol structure

Values from the calculation:
Energy of formation ... 29.72 kcal/mol of atoms
Crystal system ... tetragonal
M_tot ... 0.00 μB/cell
Total DFT energy (no corrections) ... -43.904 eV/atom
DOS(E_F) ... 3.8 states/eV/f.u.

a b c (Å): 4.575 4.575 4.620
angles (deg): 90.00 90.00 90.00
Space group P4/mmm (No. 123)
Unique sites:
1 Ga 0.000 0.000 0.000 x1
2 Os 0.000 0.000 0.500 x1
3 Pt 0.500 0.500 0.000 x1
4 Rh 0.000 0.500 0.500 x2



[2]
Material: Ca2InIr
Method: DFT, SCAN
State: single point on PBEsol structure

Values from the calculation:
Energy of formation ... -6.69 kcal/mol of atoms
Crystal system ... tetragonal
M_tot ... 0.00 μB/cell
Total DFT energy (no corrections) ... -31.243 eV/atom
DOS(E_F) ... 3.9 states/eV/f.u.

a b c (Å): 4.680 4.680 7.705
angles (deg): 90.00 90.00 90.00
Space group I-4m2 (No. 119)
Unique sites:
1 Ca 0.000 0.000 0.000 x2
2 Ca 0.000 0.500 0.250 x2
3 In 0.000 0.500 0.750 x2
4 Ir 0.000 0.000 0.500 x2



[3]
Material: YReP2Cl
Method: DFT, SCAN
State: single point on PBEsol structure

Values from the calculation:
Crystal system ... tetragonal
M_tot ... 3.58 μB/cell
Total DFT energy (no corrections) ... -24.550 eV/atom
DOS(E_F) ... 2.7 states/eV/f.u.
Formation energy without anion corrections ... 0.993 eV/atom
Energy above the most stable polymorph in this dataset ... 1.1276 eV/atom

a b c (Å): 5.239 5.239 4.898
angles (deg): 90.00 90.00 90.00
Space group P4/mmm (No. 123)
Unique sites:
1 Y 0.000 0.000 0.000 x1
2 Re 0.500 0.500 0.500 x1
3 P 0.000 0.500 0.000 x2
4 Cl 0.000 0.000 0.500 x1



Q: Number 3 is which compound?
A: YReP2Cl